A relaxed SmY2I8 crystal. Source: Alexandria, functional PBE.

Cell: 14.834 11.446 7.300 Å, 90.00 92.03 90.00°
Space group C2/m (No. 12)
Inequivalent atoms, fractional coordinates:
Sm 0.000 0.000 0.000
Y 0.187 0.000 0.647
I 0.082 0.202 0.765
I 0.129 0.500 0.244
I 0.183 0.000 0.239

Calculated values
The calculation puts the uncorrected energy at -3.96 eV per atom. The value obtained for the density of states at the Fermi level is 0.032 states/eV/atom. For the uncorrected formation energy, the calculation gives -13.5 eV/f.u.